Entry 1:
VASP calculation (PBE) on a relaxed structure of SmEr6Tm4.

Cell: 9.627 9.627 9.627 Å, 140.65 140.65 56.86°
Sites, in units of the cell vectors:
Sm1 0.000 0.000 0.000
Er1 0.000 0.500 0.500
Er2 0.014 0.642 0.000
Er3 0.358 0.358 0.372
Er4 0.500 0.000 0.500
Er5 0.642 0.014 0.000
Er6 0.986 0.986 0.628
Tm1 0.187 0.187 0.640
Tm2 0.453 0.813 0.000
Tm3 0.547 0.547 0.360
Tm4 0.813 0.453 0.000

For the total energy, the calculation gives -4.22 eV/atom. Its space group is I-42m. The calculation puts the energy relative to the elements at 0.323 eV per atom. Its crystal system is tetragonal.


Entry 2:
VASP calculation (PBE) on a relaxed structure of ZnCdPb2.

Cell: 5.290 5.290 5.290 Å, 60.00 60.00 60.00°
Sites, in units of the cell vectors:
Zn1 0.000 0.000 0.000
Cd1 0.500 0.500 0.500
Pb1 0.250 0.250 0.250
Pb2 0.750 0.750 0.750

For the total energy, the calculation gives -2.27 eV/atom. Its space group is Fm-3m. The calculation puts the energy relative to the elements at 0.134 eV per atom. Its crystal system is cubic.


Entry 3:
VASP calculation (PBE) on a relaxed structure of Cs3RbBr3.

Cell: 10.026 10.026 10.026 Å, 90.00 90.00 90.00°
Sites, in units of the cell vectors:
Cs1 0.000 0.250 0.500
Cs2 0.000 0.750 0.500
Cs3 0.250 0.500 0.000
Cs4 0.500 0.000 0.250
Cs5 0.500 0.000 0.750
Cs6 0.750 0.500 0.000
Rb1 0.000 0.000 0.000
Rb2 0.500 0.500 0.500
Br1 0.000 0.500 0.250
Br2 0.000 0.500 0.750
Br3 0.250 0.000 0.500
Br4 0.500 0.250 0.000
Br5 0.500 0.750 0.000
Br6 0.750 0.000 0.500

For the total energy, the calculation gives -2.59 eV/atom. Its space group is Pm-3n. As for the energy relative to the elements, uncorrected: -1.367 eV per atom. Its crystal system is cubic.


Entry 4:
VASP calculation (PBE) on a relaxed structure of TbThSn2.

Cell: 10.628 10.628 10.628 Å, 19.26 19.26 19.26°
Sites, in units of the cell vectors:
Tb1 0.000 0.000 0.000
Th1 0.500 0.500 0.500
Sn1 0.253 0.253 0.253
Sn2 0.747 0.747 0.747

For the total energy, the calculation gives -5.42 eV/atom. Its space group is R-3m. The calculation puts the energy relative to the elements at -0.402 eV per atom. Its crystal system is trigonal.


Entry 5:
VASP calculation (PBE) on a relaxed structure of Tm3Al9Ag2.

Cell: 8.263 8.263 8.263 Å, 149.93 104.36 83.49°
Sites, in units of the cell vectors:
Tm1 0.000 0.000 0.000
Tm2 0.306 0.306 0.000
Tm3 0.694 0.694 0.000
Al1 0.031 0.658 0.374
Al2 0.143 0.862 0.280
Al3 0.284 0.658 0.626
Al4 0.418 0.138 0.280
Al5 0.500 0.000 0.500
Al6 0.582 0.862 0.720
Al7 0.716 0.342 0.374
Al8 0.857 0.138 0.720
Al9 0.969 0.342 0.626
Ag1 0.297 0.500 0.797
Ag2 0.703 0.500 0.203

For the total energy, the calculation gives -4.12 eV/atom. Its space group is Immm. The calculation puts the energy relative to the elements at -0.352 eV per atom. Its crystal system is orthorhombic.


Entry 6:
VASP calculation (PBE) on a relaxed structure of La6CeSm2Dy.

Cell: 6.755 6.755 9.045 Å, 102.89 102.89 63.81°
Sites, in units of the cell vectors:
La1 0.088 0.554 0.204
La2 0.125 0.125 0.415
La3 0.446 0.912 0.796
La4 0.554 0.088 0.204
La5 0.875 0.875 0.585
La6 0.912 0.446 0.796
Ce1 0.000 0.000 0.000
Sm1 0.411 0.411 0.833
Sm2 0.589 0.589 0.167
Dy1 0.500 0.500 0.500

For the total energy, the calculation gives -4.75 eV/atom. Its space group is C2/m. The calculation puts the energy relative to the elements at 0.209 eV per atom. Its crystal system is monoclinic.